Entry from the Alexandria database: a relaxed structure of SrY3Ir (PBE-GGA).

The structure in POSCAR format:
```
SrY3Ir
1.0
-4.1194 -4.8307 -2.9473
1.4718 -4.4286 5.2014
-5.0734 2.2874 3.3831
Sr Y Ir
2 6 2
Direct
0.3734 0.2500 0.3870
0.6266 0.7500 0.6130
0.8811 0.2500 0.5964
0.7525 0.4944 0.0895
0.2475 0.9944 0.9105
0.2475 0.5056 0.9105
0.1189 0.7500 0.4036
0.7525 0.0056 0.0895
0.4483 0.7500 0.1763
0.5517 0.2500 0.8237
```

For the raw total energy, the calculation gives -6.267 eV/atom. For the energy relative to the lowest polymorph listed for this composition, the calculation gives 0.091 eV/atom. The value obtained for the total magnetization is 0.000 μB per atom. The energy relative to the elements is -0.2797 eV/atom.


Entry from the Alexandria database: a relaxed structure of ZnSb (PBE-GGA).

The structure in POSCAR format:
```
ZnSb
1.0
-0.2606 3.0679 3.0435
-3.5178 0.2664 2.5095
0.2406 -1.0777 4.1861
Zn Sb
1 1
Direct
0.7500 0.7500 0.7500
0.0000 0.0000 0.0000
```

For the raw total energy, the calculation gives -2.570 eV/atom. The uncorrected formation energy comes out at 128 meV per atom. The value obtained for the total magnetization is 0.000 μB per atom.


Entry from the Alexandria database: a relaxed structure of Ir2OsSeN (PBE-GGA).

The structure in POSCAR format:
```
Ir2OsSeN
1.0
4.2635 0.0000 0.0000
0.0000 4.2635 0.0000
0.0000 0.0000 3.9387
Os Se Ir N
1 1 2 1
Direct
0.0000 0.0000 0.5000
0.5000 0.5000 0.5000
0.5000 0.0000 0.0000
0.0000 0.5000 0.0000
0.0000 0.0000 0.0000
```

For the raw total energy, the calculation gives -7.131 eV/atom. The uncorrected formation energy comes out at 1022 meV per atom. The value obtained for the total magnetization is 0.000 μB per atom.


Entry from the Alexandria database: a relaxed structure of Mg2InGa2Cu5 (PBE-GGA).

The structure in POSCAR format:
```
Mg2InGa2Cu5
1.0
-3.4158 -0.6535 -1.4241
2.2805 -8.7824 -1.4400
-3.0777 -2.1731 8.3792
Cu Ga In Mg
10 4 2 4
Direct
0.5000 0.0000 0.5000
0.5000 0.2088 0.0666
0.5000 0.5666 0.7088
0.5000 0.0666 0.7912
0.5000 0.7912 0.9334
0.5000 0.5000 0.0000
0.5000 0.4334 0.2912
0.5000 0.2912 0.5666
0.5000 0.7088 0.4334
0.5000 0.9334 0.2088
0.0000 0.3798 0.1202
0.0000 0.1202 0.6202
0.0000 0.6202 0.8798
0.0000 0.8798 0.3798
0.0000 0.0000 0.0000
0.0000 0.5000 0.5000
0.0000 0.3239 0.8239
0.0000 0.1761 0.3239
0.0000 0.8239 0.6761
0.0000 0.6761 0.1761
```

For the raw total energy, the calculation gives -3.282 eV/atom. The value obtained for the total magnetization is 0.000 μB per atom. The energy relative to the elements is -0.0360 eV/atom.


Entry from the Alexandria database: a relaxed structure of CoRu2Au (PBE-GGA).

The structure in POSCAR format:
```
CoRu2Au
1.0
4.7126 -0.0050 0.0000
-1.6841 4.4014 0.0000
0.0000 0.0000 2.7489
Au Ru Co
1 2 1
Direct
0.5000 0.0000 0.5000
0.5000 0.5000 0.0000
0.0000 0.0000 0.0000
0.0000 0.5000 0.5000
```

For the raw total energy, the calculation gives -6.780 eV/atom. For the energy relative to the lowest polymorph listed for this composition, the calculation gives 0.205 eV/atom. The value obtained for the total magnetization is 0.462 μB per atom. The energy relative to the elements is 0.4536 eV/atom.


Entry from the Alexandria database: a relaxed structure of PuUCoPt (PBE-GGA).

The structure in POSCAR format:
```
PuUCoPt
1.0
4.5813 0.0000 0.0000
2.2907 3.9675 0.0000
2.2907 1.3225 3.7406
Pt U Co Pu
1 1 1 1
Direct
0.5000 0.5000 0.5000
0.0000 0.0000 0.0000
0.2500 0.2500 0.2500
0.7500 0.7500 0.7500
```

For the raw total energy, the calculation gives -10.166 eV/atom. For the energy relative to the lowest polymorph listed for this composition, the calculation gives 0.000 eV/atom. The value obtained for the total magnetization is 1.261 μB per atom. The energy relative to the elements is -0.4746 eV/atom.


Entry from the Alexandria database: a relaxed structure of Ce2NdHgO4 (PBE-GGA).

The structure in POSCAR format:
```
Ce2NdHgO4
1.0
4.0405 0.0000 0.0000
0.0000 4.0405 0.0000
0.0000 0.0000 9.1648
O Nd Ce Hg
4 1 2 1
Direct
0.5000 0.0000 0.8409
0.0000 0.5000 0.1591
0.5000 0.0000 0.1591
0.0000 0.5000 0.8409
0.0000 0.0000 0.0000
0.5000 0.5000 0.2702
0.5000 0.5000 0.7298
0.0000 0.0000 0.5000
```

For the raw total energy, the calculation gives -7.445 eV/atom. The uncorrected formation energy comes out at -2849 meV per atom. The value obtained for the total magnetization is 0.193 μB per atom.


Entry from the Alexandria database: a relaxed structure of Dy4Tm15Sc (PBE-GGA).

The structure in POSCAR format:
```
Dy4Tm15Sc
1.0
4.9319 0.0000 0.0000
0.0000 4.9319 0.0000
0.0000 0.0000 24.6360
Tm Dy Sc
15 4 1
Direct
0.5000 0.0000 0.9031
0.5000 0.5000 0.8024
0.0000 0.5000 0.9031
0.5000 0.5000 0.1976
0.5000 0.0000 0.5000
0.5000 0.5000 0.6006
0.0000 0.5000 0.0969
0.5000 0.5000 0.0000
0.5000 0.0000 0.2985
0.5000 0.0000 0.7015
0.5000 0.0000 0.0969
0.5000 0.5000 0.3994
0.0000 0.5000 0.5000
0.0000 0.5000 0.7015
0.0000 0.5000 0.2985
0.0000 0.0000 0.8017
0.0000 0.0000 0.3992
0.0000 0.0000 0.1983
0.0000 0.0000 0.6008
0.0000 0.0000 0.0000
```

For the raw total energy, the calculation gives -4.561 eV/atom. The value obtained for the total magnetization is 0.000 μB per atom. The energy relative to the elements is 0.0295 eV/atom.


Number 1: density 5.698 Mg/m³. Number 2: density 5.417 Mg/m³. Number 3: density 15.484 Mg/m³. Number 4: density 6.498 Mg/m³. Number 5: density 13.345 Mg/m³. Number 6: density 17.976 Mg/m³. Number 7: density 7.647 Mg/m³. Number 8: density 8.948 Mg/m³.